Pr2SmDy5Ho after structural relaxation, computed with PBE.

POSCAR file:
```
Pr2SmDy5Ho
1.0
-4.343 4.343 7.871
4.343 -4.343 7.871
4.343 4.343 -7.871
Pr Sm Dy Ho
4 2 10 2
Cartesian
5.370 1.027 0.000
1.027 3.316 0.000
3.316 1.027 7.871
-1.027 3.316 7.871
0.000 0.000 3.936
0.000 0.000 11.807
0.000 0.000 0.000
2.500 1.842 -2.206
2.500 -1.842 5.665
2.500 1.842 2.206
2.500 -1.842 10.077
0.000 0.000 7.871
1.842 6.185 -2.206
1.842 2.500 5.665
1.842 6.185 2.206
1.842 2.500 10.077
4.343 0.000 3.936
0.000 4.343 3.936
```

D(E_F), states/eV/atom: 1.22
Space group: I4/mcm (140)
Energy relative to the elements, eV/atom: 0.2675
DFT total energy, eV per cell: -78.92